Entry 1:
Li4Cr5BiO12: relaxed, PBE+U.

abc: 5.3081 5.3100 10.4798
angles: 86.23 82.45 60.01
Each line ends with the local moment (μB).
Element x y z (fractional)
Li 0.4514 0.6602 0.7068  -0.01
O 0.8478 0.0000 0.3978  -0.03
O 0.9726 0.6471 0.1036  -0.03
Li 0.5486 0.3398 0.2932  -0.01
O 0.3803 0.6471 0.8964  -0.03
O 0.1523 0.0000 0.6022  -0.03
O 0.3245 0.0000 0.0998  -0.04
O 0.4611 0.3459 0.6011  -0.05
Cr 0.3347 0.3305 0.0000  2.97
Bi 0.0000 0.0000 0.0000  0.04
O 0.0274 0.3529 0.8964  -0.03
Cr 0.1631 0.6737 0.5000  3.01
Cr 0.8369 0.3263 0.5000  3.01
O 0.6197 0.3529 0.1036  -0.03
O 0.5389 0.6541 0.3989  -0.05
Li 0.1115 0.3398 0.7068  -0.01
O 0.8070 0.6541 0.6011  -0.05
Cr 0.6653 0.6695 0.0000  2.97
O 0.6756 0.0000 0.9002  -0.04
Cr 0.5000 0.0000 0.5000  3.01
O 0.1930 0.3459 0.3989  -0.05
Li 0.8885 0.6602 0.2932  -0.01

Properties
Density of states at the Fermi level ... 4.1 states/eV/f.u.
E above lowest polymorph ... 0 meV per atom
Mass density ... 4.5 g cm⁻³
SG ... C2/m
Crystal system ... monoclinic



Entry 2:
LiCrBiO4: relaxed, PBE+U.

abc: 6.1252 6.4166 6.4166
angles: 64.23 61.49 61.49
Each line ends with the local moment (μB).
Element x y z (fractional)
Bi 0.0000 0.5000 0.5000  -0.08
O 0.7510 0.1990 0.2989  -0.17
O 0.2490 0.8010 0.7011  -0.17
O 0.7282 0.7741 0.2741  -0.17
Cr 0.0000 0.0000 0.5000  2.90
O 0.2718 0.2259 0.7259  -0.17
O 0.7510 0.7989 0.6990  -0.17
O 0.2236 0.7741 0.2741  -0.17
O 0.2490 0.2011 0.3010  -0.17
Cr 0.5000 0.0000 0.5000  2.90
O 0.7764 0.2259 0.7259  -0.17
Bi 0.0000 0.0000 0.0000  -0.08
Li 0.3909 0.3591 0.8591  0.00
Li 0.6091 0.6409 0.1409  0.00

Properties
Density of states at the Fermi level ... 0.9 states/eV/f.u.
Mass density ... 5.9 g cm⁻³
SG ... Imma
Energy ... -6.2799 eV/atom
Crystal system ... orthorhombic



Entry 3:
Li2CrBiO4: relaxed, PBE+U.

abc: 4.3847 4.3851 5.8527
angles: 112.00 112.00 90.00
Each line ends with the local moment (μB).
Element x y z (fractional)
O 0.5036 0.0035 0.0071  -0.05
Cr 0.5000 0.4999 0.0000  3.09
O 0.7026 0.7025 0.4053  -0.03
O 0.9964 0.4964 0.9928  -0.05
Bi 0.7500 0.2500 0.5000  -0.01
Li 0.2500 0.7504 0.5000  0.00
O 0.2974 0.2975 0.5948  -0.03
Li 0.0000 0.9998 0.0000  0.00

Properties
Density of states at the Fermi level ... 1.0 states/eV/f.u.
Mass density ... 5.9 g cm⁻³
SG ... I-4m2
Energy ... -5.9712 eV/atom
Crystal system ... tetragonal



Entry 4:
Li2CrBi2O6: relaxed, PBE+U.

abc: 5.8135 5.8135 5.9579
angles: 60.80 60.80 60.00
Each line ends with the local moment (μB).
Element x y z (fractional)
Bi 0.1967 0.1967 0.4098  0.04
Cr 0.0000 0.0000 0.0000  2.42
O 0.2352 0.7890 0.7405  -0.08
O 0.7648 0.2110 0.2595  -0.08
O 0.7890 0.2352 0.7405  -0.08
Li 0.5866 0.5866 0.2403  0.00
Bi 0.8033 0.8033 0.5902  0.04
O 0.7648 0.7648 0.2595  -0.08
Li 0.4134 0.4134 0.7597  0.00
O 0.2352 0.2352 0.7405  -0.08
O 0.2110 0.7648 0.2595  -0.08

Properties
Density of states at the Fermi level ... 2.7 states/eV/f.u.
Mass density ... 6.7 g cm⁻³
SG ... R-3m
Energy ... -5.8137 eV/atom
Crystal system ... trigonal



Entry 5:
Li2CrBiO6: relaxed, PBE+U.

abc: 4.3994 5.5589 5.5589
angles: 90.00 90.00 90.00
Element x y z (fractional)
Cr 0.6272 0.0000 0.0000
O 0.7427 0.2230 0.2230
O 0.7427 0.2230 0.7770
Li 0.9093 0.0000 0.5000
O 0.2630 0.0000 0.0000
O 0.7427 0.7770 0.2230
Bi 0.6228 0.5000 0.5000
O 0.1444 0.5000 0.5000
Li 0.9093 0.5000 0.0000
O 0.7427 0.7770 0.7770

Properties
Density of states at the Fermi level ... 3.2 states/eV/f.u.
Mass density ... 4.5 g cm⁻³
SG ... P4mm
Energy ... -5.7156 eV/atom
Crystal system ... tetragonal



Entry 6:
Li4Cr5BiO12: relaxed, PBE+U.

abc: 5.2652 5.2784 10.1359
angles: 86.42 82.82 60.08
Each line ends with the local moment (μB).
Element x y z (fractional)
O 0.6622 0.3640 0.3896  -0.07
O 0.4860 0.6560 0.1024  -0.08
Cr 0.1640 0.6719 0.0000  2.93
Cr 0.6663 0.6673 0.5000  2.93
O 0.1420 0.3440 0.1024  -0.08
O 0.6076 0.0000 0.6094  -0.07
Li 0.7834 0.6651 0.2258  -0.01
O 0.8580 0.6560 0.8976  -0.08
O 0.9738 0.3640 0.6104  -0.07
Bi 0.0000 0.0000 0.5000  -0.03
Li 0.2166 0.3349 0.7742  -0.01
Li 0.5515 0.6651 0.7742  -0.01
O 0.7987 0.0000 0.1030  -0.06
Cr 0.5000 0.0000 0.0000  2.93
Cr 0.8360 0.3281 0.0000  2.93
O 0.3924 0.0000 0.3906  -0.07
O 0.0262 0.6360 0.3896  -0.07
O 0.2013 0.0000 0.8970  -0.06
O 0.5140 0.3440 0.8976  -0.08
O 0.3378 0.6360 0.6104  -0.07
Cr 0.3337 0.3327 0.5000  2.93
Li 0.4485 0.3349 0.2258  -0.01

Properties
Density of states at the Fermi level ... 5.8 states/eV/f.u.
E above lowest polymorph ... 12 meV per atom
Mass density ... 4.7 g cm⁻³
SG ... C2/m
Crystal system ... monoclinic